Entry 1:
Compound: LaTlSiSe4
Source: the Alexandria database
Functional: GGA-PBE
Structure: relaxed

Values from the calculation:
energy relative to the elements, uncorrected = -1.07 eV per atom
final energy = -0.3583 Ry per atom

Cell lengths 6.903, 6.932, 9.095 Å; angles 90.00, 107.22, 90.00 degrees
Space group P2_1/m (No. 11)
Asymmetric unit:
La  0.237  0.250  0.055
Tl  0.255  0.250  0.567
Si  0.215  0.750  0.815
Se  0.003  0.507  0.227
Se  0.399  0.750  0.071
Se  0.410  0.750  0.653


Entry 2:
Compound: LaSmSe2
Source: the Alexandria database
Functional: GGA-PBE
Structure: relaxed

Values from the calculation:
energy relative to the elements, uncorrected = -1.91 eV per atom
final energy = -0.4460 Ry per atom

Cell lengths 4.2443, 4.2443, 20.7608 Å; angles 90.00, 90.00, 120.00 degrees
Space group R-3m (No. 166, hexagonal axes)
Asymmetric unit:
La  0.0000  0.0000  0.0000
Sm  0.0000  0.0000  0.5000
Se  0.0000  0.0000  0.2467


Entry 3:
Compound: La2Sm2Se5
Source: the Alexandria database
Functional: GGA-PBE
Structure: relaxed

Values from the calculation:
energy relative to the elements, uncorrected = -1.87 eV per atom
final energy = -0.4373 Ry per atom

Cell lengths 15.077, 7.954, 7.929 Å; angles 90.00, 90.00, 90.00 degrees
Space group Cmce (No. 64)
Asymmetric unit:
La  0.197  0.000  0.000
Sm  0.000  0.152  0.343
Se  0.000  0.000  0.000
Se  0.136  0.157  0.654


Entry 4:
Compound: LaSm2Se3
Source: the Alexandria database
Functional: GGA-PBE
Structure: relaxed

Values from the calculation:
energy relative to the elements, uncorrected = -1.87 eV per atom
final energy = -0.4418 Ry per atom

Cell lengths 4.221, 5.969, 12.654 Å; angles 90.00, 90.00, 90.00 degrees
Space group Immm (No. 71)
Asymmetric unit:
La  0.000  0.000  0.000
Sm  0.000  0.000  0.335
Se  0.000  0.500  0.000
Se  0.000  0.500  0.328


Entry 5:
Compound: La4SmSe5
Source: the Alexandria database
Functional: GGA-PBE
Structure: relaxed

Values from the calculation:
energy relative to the elements, uncorrected = -1.96 eV per atom
final energy = -0.4519 Ry per atom

Cell lengths 9.576, 9.576, 6.070 Å; angles 90.00, 90.00, 90.00 degrees
Space group I4/m (No. 87)
Asymmetric unit:
La  0.099  0.301  0.000
Sm  0.000  0.000  0.500
Se  0.000  0.000  0.000
Se  0.099  0.295  0.500


Entry 6:
Compound: LaSmSe2
Source: the Alexandria database
Functional: GGA-PBE
Structure: relaxed

Values from the calculation:
energy relative to the elements, uncorrected = -1.80 eV per atom
final energy = -0.4375 Ry per atom

Cell lengths 4.1081, 4.1081, 7.5708 Å; angles 90.00, 90.00, 120.00 degrees
Space group P-3m1 (No. 164)
Asymmetric unit:
La  0.0000  0.0000  0.0000
Sm  0.0000  0.0000  0.5000
Se  0.3333  0.6667  0.7387


Entry 7:
Compound: LaSmSe
Source: the Alexandria database
Functional: GGA-PBE
Structure: relaxed

Values from the calculation:
energy relative to the elements, uncorrected = -1.12 eV per atom
final energy = -0.4042 Ry per atom

Cell lengths 4.0489, 4.0489, 6.8076 Å; angles 90.00, 90.00, 120.00 degrees
Space group P3m1 (No. 156)
Asymmetric unit:
La  0.0000  0.0000  0.0000
Sm  0.6667  0.3333  0.5476
Se  0.3333  0.6667  0.2834


Entry 8:
Compound: LaSmSe2
Source: the Alexandria database
Functional: GGA-PBE
Structure: relaxed

Values from the calculation:
energy relative to the elements, uncorrected = -1.89 eV per atom
final energy = -0.4445 Ry per atom

Cell lengths 4.1879, 4.1879, 14.2552 Å; angles 90.00, 90.00, 120.00 degrees
Space group P6_3/mmc (No. 194)
Asymmetric unit:
La  0.3333  0.6667  0.2500
Sm  0.0000  0.0000  0.0000
Se  0.3333  0.6667  0.6188


Entry 9:
Compound: La3SmSe6
Source: the Alexandria database
Functional: GGA-PBE
Structure: relaxed

Values from the calculation:
energy relative to the elements, uncorrected = -1.97 eV per atom
final energy = -0.4419 Ry per atom

Cell lengths 12.5267, 12.5267, 14.8088 Å; angles 90.00, 90.00, 120.00 degrees
Space group R-3 (No. 148, hexagonal axes)
Asymmetric unit:
La  0.0496  0.2706  0.2020
Sm  0.0000  0.0000  0.0000
Sm  0.0000  0.0000  0.5000
Se  0.0226  0.2116  0.3994
Se  0.0320  0.1929  0.8774


Entry 10:
Compound: La4SmSe7
Source: the Alexandria database
Functional: GGA-PBE
Structure: relaxed

Values from the calculation:
energy relative to the elements, uncorrected = -2.00 eV per atom
final energy = -0.4458 Ry per atom

Cell lengths 14.102, 4.181, 12.569 Å; angles 90.00, 105.20, 90.00 degrees
Space group Cm (No. 8)
Asymmetric unit:
La  0.000  0.000  0.000
La  0.086  0.500  0.382
La  0.190  0.000  0.766
La  0.387  0.500  0.573
Sm  0.274  0.500  0.152
Se  0.048  0.500  0.625
Se  0.128  0.500  0.929
Se  0.154  0.000  0.224
Se  0.227  0.000  0.523
Se  0.346  0.500  0.790
Se  0.384  0.000  0.076
Se  0.428  0.500  0.355


Entry 11:
Compound: LaSm3Se6
Source: the Alexandria database
Functional: GGA-PBE
Structure: relaxed

Values from the calculation:
energy relative to the elements, uncorrected = -1.93 eV per atom
final energy = -0.4355 Ry per atom

Cell lengths 11.818, 4.244, 12.133 Å; angles 90.00, 108.86, 90.00 degrees
Space group P2_1/m (No. 11)
Asymmetric unit:
La  0.047  0.250  0.193
Sm  0.159  0.250  0.585
Sm  0.319  0.750  0.999
Sm  0.438  0.250  0.333
Se  0.084  0.750  0.404
Se  0.116  0.250  0.964
Se  0.194  0.750  0.750
Se  0.260  0.750  0.226
Se  0.395  0.250  0.560
Se  0.481  0.250  0.114


Entry 12:
Compound: LaSmSe2
Source: the Alexandria database
Functional: GGA-PBE
Structure: relaxed

Values from the calculation:
energy relative to the elements, uncorrected = -1.86 eV per atom
final energy = -0.4420 Ry per atom

Cell lengths 4.1374, 4.1374, 22.1486 Å; angles 90.00, 90.00, 120.00 degrees
Space group R3m (No. 160, hexagonal axes)
Asymmetric unit:
La  0.0000  0.0000  0.0000
Sm  0.0000  0.0000  0.8226
Se  0.0000  0.0000  0.4132
Se  0.0000  0.0000  0.5758


Entry 13:
Compound: LaSmSe
Source: the Alexandria database
Functional: GGA-PBE
Structure: relaxed

Values from the calculation:
energy relative to the elements, uncorrected = -1.06 eV per atom
final energy = -0.3998 Ry per atom

Cell lengths 8.858, 11.163, 7.755 Å; angles 90.00, 90.00, 90.00 degrees
Space group Cmce (No. 64)
Asymmetric unit:
La  0.205  0.000  0.000
Sm  0.000  0.202  0.336
Se  0.000  0.064  0.697


Entry 14:
Compound: LaSm5Se6
Source: the Alexandria database
Functional: GGA-PBE
Structure: relaxed

Values from the calculation:
energy relative to the elements, uncorrected = -1.85 eV per atom
final energy = -0.4387 Ry per atom

Cell lengths 7.245, 12.619, 7.275 Å; angles 90.00, 109.54, 90.00 degrees
Space group C2/m (No. 12)
Asymmetric unit:
La  0.000  0.000  0.000
Sm  0.000  0.165  0.500
Sm  0.000  0.332  0.000
Sm  0.000  0.500  0.500
Se  0.245  0.500  0.251
Se  0.246  0.331  0.746


Entry 15:
Compound: La2SmSe
Source: the Alexandria database
Functional: GGA-PBE
Structure: relaxed

Values from the calculation:
energy relative to the elements, uncorrected = -0.83 eV per atom
final energy = -0.3931 Ry per atom

Cell lengths 3.9853, 3.9853, 29.4667 Å; angles 90.00, 90.00, 120.00 degrees
Space group R3m (No. 160, hexagonal axes)
Asymmetric unit:
La  0.0000  0.0000  0.0000
La  0.0000  0.0000  0.1997
Sm  0.0000  0.0000  0.7666
Se  0.0000  0.0000  0.5996


Entry 16:
Compound: La3Sm2Se8
Source: the Alexandria database
Functional: GGA-PBE
Structure: relaxed

Values from the calculation:
energy relative to the elements, uncorrected = -1.74 eV per atom
final energy = -0.4227 Ry per atom

Cell lengths 14.772, 8.619, 7.315 Å; angles 90.00, 110.65, 90.00 degrees
Space group C2/m (No. 12)
Asymmetric unit:
La  0.000  0.000  0.000
La  0.000  0.264  0.500
Sm  0.238  0.500  0.153
Se  0.121  0.000  0.438
Se  0.121  0.500  0.397
Se  0.127  0.235  0.918


Entry 17:
Compound: La4SmSe5
Source: the Alexandria database
Functional: GGA-PBE
Structure: relaxed

Values from the calculation:
energy relative to the elements, uncorrected = -1.96 eV per atom
final energy = -0.4515 Ry per atom

Cell lengths 4.285, 4.285, 30.350 Å; angles 90.00, 90.00, 90.00 degrees
Space group I4/mmm (No. 139)
Asymmetric unit:
La  0.000  0.000  0.099
La  0.000  0.000  0.300
Sm  0.000  0.000  0.500
Se  0.000  0.000  0.000
Se  0.000  0.000  0.200
Se  0.000  0.000  0.402


Entry 18:
Compound: La3SmSe6
Source: the Alexandria database
Functional: GGA-PBE
Structure: relaxed

Values from the calculation:
energy relative to the elements, uncorrected = -1.85 eV per atom
final energy = -0.4333 Ry per atom

Cell lengths 13.337, 7.797, 7.498 Å; angles 90.00, 123.09, 90.00 degrees
Space group C2/m (No. 12)
Asymmetric unit:
La  0.000  0.000  0.000
La  0.250  0.000  0.699
Sm  0.000  0.500  0.500
Se  0.090  0.251  0.344
Se  0.245  0.500  0.903


Entry 19:
Compound: La2SmSe3
Source: the Alexandria database
Functional: GGA-PBE
Structure: relaxed

Values from the calculation:
energy relative to the elements, uncorrected = -1.94 eV per atom
final energy = -0.4493 Ry per atom

Cell lengths 8.592, 12.070, 25.412 Å; angles 90.00, 90.00, 90.00 degrees
Space group Fddd (No. 70, origin choice 2)
Asymmetric unit:
La  0.125  0.125  0.043
La  0.125  0.125  0.374
Sm  0.125  0.125  0.542
Se  0.117  0.375  0.875
Se  0.121  0.372  0.710


Entry 20:
Compound: LaSm2Se4
Source: the Alexandria database
Functional: GGA-PBE
Structure: relaxed

Values from the calculation:
energy relative to the elements, uncorrected = -1.93 eV per atom
final energy = -0.4389 Ry per atom

Cell lengths 4.133, 13.783, 14.079 Å; angles 90.00, 90.00, 90.00 degrees
Space group Cmcm (No. 63)
Asymmetric unit:
La  0.000  0.122  0.250
Sm  0.000  0.370  0.067
Se  0.000  0.000  0.000
Se  0.000  0.274  0.622
Se  0.000  0.464  0.250